Entry 1:
Below is NiRu2Au after structural relaxation, with properties calculated at the PBE level.

Results
calculated volume	15.6	Å³/atom
relative energy among the computed polymorphs	55.6	kJ/mol of atoms
energy relative to the elements	3.0	eV/f.u.

Cell: 7.087 7.087 5.591 Å, 50.67 50.67 90.00°
Sites, in units of the cell vectors:
Ru: 0.576 0.125 0.250
Ru: 0.174 0.625 0.250
Ru: 0.375 0.424 0.750
Ru: 0.875 0.826 0.750
Au: 0.000 0.000 0.000
Au: 0.750 0.250 0.500
Ni: 0.500 0.500 0.000
Ni: 0.250 0.750 0.500

***

Entry 2:
Below is Ni2RuAu after structural relaxation, with properties calculated at the PBE level.

Results
calculated volume	13.6	Å³/atom
relative energy among the computed polymorphs	11.7	kJ/mol of atoms
energy relative to the elements	1.0	eV/f.u.

Cell: 4.558 4.558 2.706 Å, 90.00 90.00 105.14°
Sites, in units of the cell vectors:
Au: 0.000 0.500 0.500
Ni: 0.000 0.000 0.000
Ni: 0.500 0.500 0.000
Ru: 0.500 0.000 0.500

***

Entry 3:
Below is NiRu2Au after structural relaxation, with properties calculated at the PBE level.

Results
calculated volume	14.4	Å³/atom
relative energy among the computed polymorphs	4.1	kJ/mol of atoms
energy relative to the elements	0.9	eV/f.u.

Cell: 8.972 8.972 8.972 Å, 17.61 17.61 17.61°
Sites, in units of the cell vectors:
Au: 0.497 0.497 0.497
Ni: 0.746 0.746 0.746
Ru: 0.001 0.001 0.001
Ru: 0.257 0.257 0.257

***

Entry 4:
Below is NiRu3Au after structural relaxation, with properties calculated at the PBE level.

Results
calculated volume	22.8	Å³/atom
relative energy among the computed polymorphs	101.2	kJ/mol of atoms
energy relative to the elements	12.4	eV/f.u.

Cell: 4.849 4.849 4.849 Å, 90.00 90.00 90.00°
Sites, in units of the cell vectors:
Ru: 0.000 0.500 0.000
Ru: 0.000 0.000 0.500
Ru: 0.500 0.000 0.000
Au: 0.000 0.000 0.000
Ni: 0.500 0.500 0.500